1.
Density functional theory data (PBE-GGA) for a relaxed structure of Ca5PrAg6.

SG: P2/m, No. 10
DFT formation energy: -0.31 eV/atom

abc: 5.2651 7.4734 8.3157
angles: 90.00 71.26 90.00
Atoms (fractional coordinates):
Ca 0.0000 0.5000 0.0000
Ag 0.5000 0.2443 0.0000
Ag 0.8346 0.7484 0.3304
Ag 0.8347 0.2516 0.3304
Ag 0.5000 0.7557 0.0000
Ca 0.3346 0.5000 0.3309
Ag 0.1653 0.7484 0.6696
Pr 0.0000 0.0000 0.0000
Ca 0.6685 0.0000 0.6632
Ca 0.6654 0.5000 0.6691
Ca 0.3315 0.0000 0.3368
Ag 0.1654 0.2516 0.6696

---

2.
Density functional theory data (PBE-GGA) for a relaxed structure of Sr2YRu.

Excess energy over the best structure of this formula in the dataset: 0 meV per atom
SG: P4mm, No. 99
DFT formation energy: 0.06 eV/atom

abc: 3.6271 3.6271 10.0676
angles: 90.00 90.00 89.99
Atoms (fractional coordinates):
Sr 0.0000 0.0000 0.9190
Ru 0.5000 0.5000 0.7188
Sr 0.5000 0.5000 0.2767
Y 0.0000 0.0000 0.5855

---

3.
Density functional theory data (PBE-GGA) for a relaxed structure of CoAs3Ir.

Excess energy over the best structure of this formula in the dataset: 0 meV per atom
SG: Pm-3m, No. 221
DFT formation energy: 0.66 eV/atom

abc: 4.4566 4.4566 4.4566
angles: 90.00 90.00 90.00
Atoms (fractional coordinates):
As 0.5000 0.0000 0.0000
Co 0.0000 0.0000 0.0000
Ir 0.5000 0.5000 0.5000
As 0.0000 0.5000 0.0000
As 0.0000 0.0000 0.5000

---

4.
Density functional theory data (PBE-GGA) for a relaxed structure of RePtO2.

Excess energy over the best structure of this formula in the dataset: 1327 meV per atom
Uncorrected formation energy: 0.669 eV per atom
SG: Fm-3m, No. 225

abc: 3.9831 3.9831 3.9831
angles: 60.00 60.00 60.00
Atoms (fractional coordinates):
Re 0.0000 0.0000 0.0000
O 0.2500 0.2500 0.2500
O 0.7500 0.7500 0.7500
Pt 0.5000 0.5000 0.5000

---

D(E_F) across the listed records, respectively: 0.73, 1.10, 0.59, 0.98 states/eV per atom.